Entry 1:
A plane-wave DFT calculation with PBE-GGA was carried out for a geometry-optimized LaTbPmSm structure.

The structure belongs to space group F-43m (No. 216); the cell edges are 8.2069, 8.2069 and 8.2069 Å and the angles 90.00°, 90.00° and 90.00°. Symmetry generates all atoms from La at (0.0000, 0.0000, 0.0000), Tb at (0.2500, 0.2500, 0.7500), Pm at (0.2500, 0.2500, 0.2500) and Sm at (0.0000, 0.0000, 0.5000).

As for the formation energy: 131 meV/atom. The crystal system is cubic.



Entry 2:
A plane-wave DFT calculation with PBE-GGA was carried out for a geometry-optimized La2TbPm4Sm2 structure.

The structure belongs to space group C2/m (No. 12); the cell edges are 19.1426, 3.6934 and 9.7998 Å and the angles 90.00°, 115.66° and 90.00°. Symmetry generates all atoms from La at (0.1654, 0.0000, 0.4989), Tb at (0.0000, 0.5000, 0.5000), Pm at (0.0189, 0.0000, 0.8326), Pm at (0.1855, 0.5000, 0.8342) and Sm at (0.1473, 0.5000, 0.1654).

As for the formation energy: 8 meV/atom. The crystal system is monoclinic.



Entry 3:
A plane-wave DFT calculation with PBE-GGA was carried out for a geometry-optimized LaTbPm2Sm6 structure.

The structure belongs to space group C2/c (No. 15); the cell edges are 9.1732, 15.3597 and 9.9265 Å and the angles 90.00°, 99.20° and 90.00°. Symmetry generates all atoms from La at (0.0000, 0.0959, 0.2500), Tb at (0.0000, 0.4791, 0.7500), Pm at (0.2396, 0.4496, 0.0416), Sm at (0.0654, 0.3153, 0.4440), Sm at (0.1030, 0.1039, 0.6225) and Sm at (0.1978, 0.2746, 0.8176).

As for the formation energy: 120 meV/atom. The crystal system is monoclinic.



Entry 4:
A plane-wave DFT calculation with PBE-GGA was carried out for a geometry-optimized LaTb2Pm6Sm structure.

The structure belongs to space group C2/c (No. 15); the cell edges are 9.2730, 15.3490 and 9.8210 Å and the angles 90.00°, 98.06° and 90.00°. Symmetry generates all atoms from La at (0.0000, 0.0946, 0.2500), Tb at (0.2437, 0.4508, 0.0453), Pm at (0.0657, 0.3212, 0.4440), Pm at (0.0982, 0.1070, 0.6212), Pm at (0.2045, 0.2730, 0.8193) and Sm at (0.0000, 0.4714, 0.7500).

As for the formation energy: 116 meV/atom. The crystal system is monoclinic.



Entry 5:
A plane-wave DFT calculation with PBE-GGA was carried out for a geometry-optimized La3Tb6Pm2Sm structure.

The structure belongs to space group C2/m (No. 12); the cell edges are 6.3029, 10.9223 and 11.9306 Å and the angles 90.00°, 100.13° and 90.00°. Symmetry generates all atoms from La at (0.0000, 0.0000, 0.0000), La at (0.0000, 0.3332, 0.0000), Tb at (0.2490, 0.0000, 0.7472), Tb at (0.2488, 0.3334, 0.7471), Pm at (0.0000, 0.1666, 0.5000) and Sm at (0.0000, 0.5000, 0.5000).

As for the formation energy: 13 meV/atom. The crystal system is monoclinic.



Entry 6:
A plane-wave DFT calculation with PBE-GGA was carried out for a geometry-optimized La2Tb3Pm6Sm structure.

The structure belongs to space group C2/m (No. 12); the cell edges are 6.3167, 10.9456 and 12.0850 Å and the angles 90.00°, 100.09° and 90.00°. Symmetry generates all atoms from La at (0.0000, 0.1666, 0.0000), Tb at (0.0000, 0.0000, 0.5000), Tb at (0.0000, 0.3336, 0.5000), Pm at (0.2475, 0.5000, 0.7454), Pm at (0.2486, 0.1663, 0.7455) and Sm at (0.0000, 0.5000, 0.0000).

As for the formation energy: 18 meV/atom. The crystal system is monoclinic.



Entry 7:
A plane-wave DFT calculation with PBE-GGA was carried out for a geometry-optimized LaTb2Pm6Sm3 structure.

The structure belongs to space group C2/m (No. 12); the cell edges are 6.3084, 10.9231 and 12.0846 Å and the angles 90.00°, 100.05° and 90.00°. Symmetry generates all atoms from La at (0.0000, 0.0000, 0.0000), Tb at (0.0000, 0.3335, 0.0000), Pm at (0.2490, 0.3327, 0.7498), Pm at (0.2494, 0.5000, 0.2505), Sm at (0.0000, 0.1672, 0.5000) and Sm at (0.0000, 0.5000, 0.5000).

As for the formation energy: 16 meV/atom. The crystal system is monoclinic.



Entry 8:
A plane-wave DFT calculation with PBE-GGA was carried out for a geometry-optimized La2TbPm2Sm4 structure.

The structure belongs to space group C2/m (No. 12); the cell edges are 19.1236, 3.6874 and 9.7866 Å and the angles 90.00°, 115.68° and 90.00°. Symmetry generates all atoms from La at (0.1653, 0.0000, 0.9997), Tb at (0.0000, 0.5000, 0.0000), Pm at (0.1474, 0.5000, 0.6652), Sm at (0.0190, 0.0000, 0.3324) and Sm at (0.1851, 0.5000, 0.3350).

As for the formation energy: 7 meV/atom. The crystal system is monoclinic.



Entry 9:
A plane-wave DFT calculation with PBE-GGA was carried out for a geometry-optimized La2Tb3PmSm6 structure.

The structure belongs to space group C2/m (No. 12); the cell edges are 6.2989, 10.9142 and 12.0588 Å and the angles 90.00°, 100.07° and 90.00°. Symmetry generates all atoms from La at (0.0000, 0.1668, 0.0000), Tb at (0.0000, 0.0000, 0.5000), Tb at (0.0000, 0.3336, 0.5000), Pm at (0.0000, 0.5000, 0.0000), Sm at (0.2478, 0.5000, 0.7454) and Sm at (0.2485, 0.1664, 0.7453).

As for the formation energy: 19 meV/atom. The crystal system is monoclinic.



Entry 10:
A plane-wave DFT calculation with PBE-GGA was carried out for a geometry-optimized La2TbPmSm4 structure.

The structure belongs to space group P2/m (No. 10); the cell edges are 5.1636, 5.1783 and 10.3344 Å and the angles 90.00°, 90.12° and 90.00°. Symmetry generates all atoms from La at (0.0000, 0.0000, 0.0000), La at (0.5000, 0.5000, 0.5000), Tb at (0.0000, 0.0000, 0.5000), Pm at (0.5000, 0.5000, 0.0000), Sm at (0.9999, 0.5000, 0.2510) and Sm at (0.4994, 0.0000, 0.7487).

As for the formation energy: 22 meV/atom. The crystal system is monoclinic.



Entry 11:
A plane-wave DFT calculation with PBE-GGA was carried out for a geometry-optimized La2TbPm2Sm structure.

The structure belongs to space group Pnnm (No. 58); the cell edges are 6.7458, 18.2576 and 3.4611 Å and the angles 90.00°, 90.00° and 90.00°. Symmetry generates all atoms from La at (0.2292, 0.1846, 0.0000), Tb at (0.0000, 0.0000, 0.0000), Pm at (0.2248, 0.3542, 0.5000) and Sm at (0.0000, 0.5000, 0.0000).

As for the formation energy: 234 meV/atom. The crystal system is orthorhombic.



Entry 12:
A plane-wave DFT calculation with PBE-GGA was carried out for a geometry-optimized LaTb5PmSm2 structure.

The structure belongs to space group I4/mcm (No. 140); the cell edges are 8.7937, 8.7937 and 15.6160 Å and the angles 90.00°, 90.00° and 90.00°. Symmetry generates all atoms from La at (0.0000, 0.0000, 0.2500), Tb at (0.0000, 0.0000, 0.0000), Tb at (0.2063, 0.2937, 0.1350), Pm at (0.0000, 0.5000, 0.2500) and Sm at (0.1173, 0.3827, 0.5000).

As for the formation energy: 254 meV/atom. The crystal system is tetragonal.



Entry 13:
A plane-wave DFT calculation with PBE-GGA was carried out for a geometry-optimized La2TbPmSm6 structure.

The structure belongs to space group C2/c (No. 15); the cell edges are 9.1601, 15.2157 and 10.0835 Å and the angles 90.00°, 100.19° and 90.00°. Symmetry generates all atoms from La at (0.2403, 0.0485, 0.0405), Tb at (0.0000, 0.4051, 0.2500), Pm at (0.0000, 0.0118, 0.7500), Sm at (0.0714, 0.1915, 0.4438), Sm at (0.0983, 0.3965, 0.6205) and Sm at (0.2006, 0.2205, 0.8113).

As for the formation energy: 114 meV/atom. The crystal system is monoclinic.



Entry 14:
A plane-wave DFT calculation with PBE-GGA was carried out for a geometry-optimized LaTb5Pm2Sm structure.

The structure belongs to space group I4/mcm (No. 140); the cell edges are 8.7898, 8.7898 and 15.6602 Å and the angles 90.00°, 90.00° and 90.00°. Symmetry generates all atoms from La at (0.0000, 0.0000, 0.2500), Tb at (0.0000, 0.0000, 0.0000), Tb at (0.2074, 0.2926, 0.1357), Pm at (0.1173, 0.3827, 0.5000) and Sm at (0.0000, 0.5000, 0.2500).

As for the formation energy: 251 meV/atom. The crystal system is tetragonal.



Entry 15:
A plane-wave DFT calculation with PBE-GGA was carried out for a geometry-optimized La4TbPmSm2 structure.

The structure belongs to space group P2/m (No. 10); the cell edges are 5.2311, 5.2706 and 10.2130 Å and the angles 90.00°, 90.08° and 90.00°. Symmetry generates all atoms from La at (0.0003, 0.0000, 0.2487), La at (0.5001, 0.5000, 0.2485), Tb at (0.0000, 0.5000, 0.0000), Pm at (0.5000, 0.0000, 0.5000), Sm at (0.0000, 0.5000, 0.5000) and Sm at (0.5000, 0.0000, 0.0000).

As for the formation energy: 16 meV/atom. The crystal system is monoclinic.



Entry 16:
A plane-wave DFT calculation with PBE-GGA was carried out for a geometry-optimized La2Tb2PmSm structure.

The structure belongs to space group Pmma (No. 51); the cell edges are 7.1292, 5.7830 and 10.0017 Å and the angles 90.00°, 90.00° and 90.00°. Symmetry generates all atoms from La at (0.0000, 0.0000, 0.0000), La at (0.2500, 0.5000, 0.1699), Tb at (0.2500, 0.0000, 0.3343), Tb at (0.2500, 0.5000, 0.8329), Pm at (0.0000, 0.5000, 0.5000) and Sm at (0.2500, 0.0000, 0.6639).

As for the formation energy: 62 meV/atom. The crystal system is orthorhombic.



Entry 17:
A plane-wave DFT calculation with PBE-GGA was carried out for a geometry-optimized La4Tb2PmSm structure.

The structure belongs to space group P2/m (No. 10); the cell edges are 6.3709, 3.6860 and 12.0425 Å and the angles 90.00°, 100.19° and 90.00°. Symmetry generates all atoms from La at (0.2483, 0.0000, 0.2495), La at (0.2481, 0.5000, 0.7487), Tb at (0.0000, 0.0000, 0.5000), Tb at (0.0000, 0.5000, 0.0000), Pm at (0.5000, 0.0000, 0.0000) and Sm at (0.5000, 0.5000, 0.5000).

As for the formation energy: 11 meV/atom. The crystal system is monoclinic.



Entry 18:
A plane-wave DFT calculation with PBE-GGA was carried out for a geometry-optimized La2Tb2Pm4Sm structure.

The structure belongs to space group C2/m (No. 12); the cell edges are 19.1136, 3.6854 and 9.7735 Å and the angles 90.00°, 115.76° and 90.00°. Symmetry generates all atoms from La at (0.1662, 0.0000, 0.4982), Tb at (0.1479, 0.5000, 0.1651), Pm at (0.0188, 0.0000, 0.8358), Pm at (0.1859, 0.5000, 0.8346) and Sm at (0.0000, 0.5000, 0.5000).

As for the formation energy: 4 meV/atom. The crystal system is monoclinic.



Entry 19:
A plane-wave DFT calculation with PBE-GGA was carried out for a geometry-optimized La6TbPmSm2 structure.

The structure belongs to space group C2/m (No. 12); the cell edges are 11.5268, 7.0155 and 9.2943 Å and the angles 90.00°, 107.43° and 90.00°. Symmetry generates all atoms from La at (0.1285, 0.0000, 0.4223), La at (0.1968, 0.2678, 0.8048), Tb at (0.0000, 0.0000, 0.0000), Pm at (0.0000, 0.5000, 0.5000) and Sm at (0.0734, 0.5000, 0.1705).

As for the formation energy: 183 meV/atom. The crystal system is monoclinic.



Entry 20:
A plane-wave DFT calculation with PBE-GGA was carried out for a geometry-optimized La2Tb4Pm2Sm structure.

The structure belongs to space group C2/m (No. 12); the cell edges are 19.0035, 3.6652 and 9.7184 Å and the angles 90.00°, 115.76° and 90.00°. Symmetry generates all atoms from La at (0.1657, 0.0000, 0.0002), Tb at (0.0199, 0.0000, 0.3340), Tb at (0.1853, 0.5000, 0.3368), Pm at (0.1471, 0.5000, 0.6628) and Sm at (0.0000, 0.5000, 0.0000).

As for the formation energy: 2 meV/atom. The crystal system is monoclinic.